SbPbF6 | PBE | relaxed

Lattice parameters (Å, degrees): 6.370 6.370 6.370 60.00 60.00 60.00
Sites, in units of the cell vectors:
F 0.228 0.772 0.772
F 0.772 0.772 0.228
F 0.772 0.228 0.772
F 0.228 0.772 0.228
F 0.228 0.228 0.772
F 0.772 0.228 0.228
Sb 0.000 0.000 0.000
Pb 0.500 0.500 0.500

The space-group type is Fm-3m (225). For the density of states at the Fermi level, the calculation gives 3.26 states/eV per cell. The value obtained for the raw formation energy is -2319 meV/atom.